ErCuS2: relaxed, PBE-GGA.

POSCAR file:
```
ErCuS2
1.0
3.9326 0.0000 0.0000
0.0000 6.2387 0.0000
0.0000 0.0000 13.3453
S Er Cu
8 4 4
Direct
0.7512 0.0053 0.0401 S
0.7511 0.4890 0.2054 S
0.2512 0.4947 0.9599 S
0.2489 0.9890 0.2946 S
0.2511 0.0110 0.7946 S
0.2488 0.5053 0.4599 S
0.7489 0.5110 0.7054 S
0.7488 0.9947 0.5401 S
0.2488 0.7482 0.6334 Er
0.7488 0.7518 0.3666 Er
0.7512 0.2482 0.8666 Er
0.2512 0.2518 0.1334 Er
0.2484 0.1253 0.4548 Cu
0.7516 0.6253 0.0452 Cu
0.7484 0.3747 0.5452 Cu
0.2516 0.8747 0.9548 Cu
```

Density   5.98 g/cm3
SG   P2_12_12_1
Formation energy (no corrections)   -1378.6 meV per atom